Here is crystalline AlPd4Au3 at its relaxed geometry from Alexandria via LeMat-Bulk. Energies are from PBE.

Unit cell a=7.977 b=7.976 c=4.174 alpha=74.85 beta=74.81 gamma=30.33
Sites, in units of the cell vectors:
Al1 0.000 0.000 0.000
Pd1 0.118 0.118 0.382
Pd2 0.382 0.382 0.118
Pd3 0.618 0.618 0.882
Pd4 0.882 0.882 0.618
Au1 0.251 0.251 0.749
Au2 0.500 0.500 0.500
Au3 0.749 0.749 0.251

Calculated values
- SG: Fmmm
- Fermi-level density of states: 1.37 states/eV/f.u.
- Energy of formation: -0.35 eV per atom
- Volume: 129.1 Å³/cell



Here is crystalline Li2NbBr6 at its relaxed geometry from Alexandria via LeMat-Bulk. Energies are from PBE.

Unit cell a=6.474 b=6.743 c=11.501 alpha=90.00 beta=90.00 gamma=90.00
Sites, in units of the cell vectors:
Li1 0.000 0.000 0.166
Li2 0.000 0.000 0.834
Li3 0.500 0.500 0.334
Li4 0.500 0.500 0.666
Nb1 0.000 0.500 0.000
Nb2 0.500 0.000 0.500
Br1 0.228 0.337 0.159
Br2 0.228 0.337 0.841
Br3 0.231 0.817 0.000
Br4 0.269 0.317 0.500
Br5 0.272 0.837 0.341
Br6 0.272 0.837 0.659
Br7 0.728 0.163 0.341
Br8 0.728 0.163 0.659
Br9 0.731 0.683 0.500
Br10 0.769 0.183 0.000
Br11 0.772 0.663 0.159
Br12 0.772 0.663 0.841

Calculated values
- Polymorph energy (0 for the lowest one): 0 meV/atom
- ΔE_f (raw): -1.12 eV/atom
- SG: Pnnm
- Fermi-level density of states: 5.70 states/eV/f.u.
- Volume: 502.0 Å³/cell



Here is crystalline InTe2Pd2 at its relaxed geometry from Alexandria via LeMat-Bulk. Energies are from PBE.

Unit cell a=8.459 b=8.459 c=3.148 alpha=90.00 beta=90.00 gamma=90.00
Sites, in units of the cell vectors:
In1 0.000 0.000 0.000
In2 0.500 0.500 0.000
Te1 0.154 0.346 0.000
Te2 0.346 0.846 0.000
Te3 0.654 0.154 0.000
Te4 0.846 0.654 0.000
Pd1 0.147 0.647 0.500
Pd2 0.353 0.147 0.500
Pd3 0.647 0.853 0.500
Pd4 0.853 0.353 0.500

Calculated values
- Polymorph energy (0 for the lowest one): 137 meV/atom
- ΔE_f (raw): -0.09 eV/atom
- SG: P4/mbm
- Fermi-level density of states: 2.13 states/eV/f.u.
- Volume: 225.2 Å³/cell



Here is crystalline AlCdSe2 at its relaxed geometry from Alexandria via LeMat-Bulk. Energies are from PBE.

Unit cell a=3.401 b=3.401 c=7.119 alpha=90.00 beta=90.00 gamma=90.00
Sites, in units of the cell vectors:
Al1 0.000 0.000 0.000
Cd1 0.000 0.000 0.500
Se1 0.500 0.500 0.226
Se2 0.500 0.500 0.774

Calculated values
- Polymorph energy (0 for the lowest one): 452 meV/atom
- ΔE_f (raw): -0.07 eV/atom
- SG: P4/mmm
- Fermi-level density of states: 1.90 states/eV/f.u.
- Volume: 82.4 Å³/cell



Here is crystalline Dy4RhCl5 at its relaxed geometry from Alexandria via LeMat-Bulk. Energies are from PBE.

Unit cell a=9.681 b=9.681 c=8.284 alpha=97.44 beta=97.44 gamma=23.06
Sites, in units of the cell vectors:
Dy1 0.007 0.007 0.224
Dy2 0.353 0.353 0.943
Dy3 0.647 0.647 0.057
Dy4 0.993 0.993 0.776
Rh1 0.500 0.500 0.000
Cl1 0.161 0.161 0.296
Cl2 0.192 0.192 0.855
Cl3 0.500 0.500 0.500
Cl4 0.808 0.808 0.145
Cl5 0.839 0.839 0.704

Calculated values
- ΔE_f (raw): -1.68 eV/atom
- SG: C2/m
- Fermi-level density of states: 1.40 states/eV/f.u.
- Volume: 301.4 Å³/cell



Here is crystalline Er4MgCu2Ru at its relaxed geometry from Alexandria via LeMat-Bulk. Energies are from PBE.

Unit cell a=8.588 b=8.588 c=8.588 alpha=33.52 beta=33.52 gamma=33.52
Sites, in units of the cell vectors:
Er1 0.115 0.115 0.115
Er2 0.367 0.367 0.367
Er3 0.633 0.633 0.633
Er4 0.885 0.885 0.885
Mg1 0.500 0.500 0.500
Cu1 0.240 0.240 0.240
Cu2 0.760 0.760 0.760
Ru1 0.000 0.000 0.000

Calculated values
- SG: R-3m
- Fermi-level density of states: 5.88 states/eV/f.u.
- Energy of formation: -0.26 eV per atom
- Volume: 172.0 Å³/cell



Here is crystalline NaCo2NiB at its relaxed geometry from Alexandria via LeMat-Bulk. Energies are from PBE.

Unit cell a=4.304 b=4.304 c=4.773 alpha=90.00 beta=90.00 gamma=90.00
Sites, in units of the cell vectors:
Na1 0.000 0.000 0.000
Co1 0.000 0.500 0.500
Co2 0.500 0.000 0.500
Ni1 0.000 0.000 0.500
B1 0.500 0.500 0.000

Calculated values
- SG: P4/mmm
- Fermi-level density of states: 6.78 states/eV/f.u.
- Energy of formation: 1.76 eV per atom
- Volume: 88.4 Å³/cell



Here is crystalline TlGeAu2 at its relaxed geometry from Alexandria via LeMat-Bulk. Energies are from PBE.

Unit cell a=5.191 b=5.191 c=3.156 alpha=90.00 beta=90.00 gamma=90.00
Sites, in units of the cell vectors:
Tl1 0.000 0.000 0.000
Ge1 0.500 0.500 0.000
Au1 0.000 0.500 0.500
Au2 0.500 0.000 0.500

Calculated values
- Polymorph energy (0 for the lowest one): 161 meV/atom
- SG: P4/mmm
- Fermi-level density of states: 1.54 states/eV/f.u.
- Energy of formation: 0.15 eV per atom
- Volume: 85.0 Å³/cell



Here is crystalline CsNdS2O8 at its relaxed geometry from Alexandria via LeMat-Bulk. Energies are from PBE.

Unit cell a=5.542 b=5.542 c=8.940 alpha=90.00 beta=90.00 gamma=120.00
Sites, in units of the cell vectors:
Cs1 0.000 0.000 0.000
Nd1 0.000 0.000 0.500
S1 0.333 0.667 0.721
S2 0.667 0.333 0.279
O1 0.139 0.381 0.662
O2 0.242 0.861 0.662
O3 0.333 0.667 0.884
O4 0.381 0.242 0.338
O5 0.619 0.758 0.662
O6 0.667 0.333 0.116
O7 0.758 0.139 0.338
O8 0.861 0.619 0.338

Calculated values
- ΔE_f (raw): -2.08 eV/atom
- SG: P-3
- Fermi-level density of states: 0.00 states/eV/f.u.
- Volume: 237.8 Å³/cell



Here is crystalline SrLa2Pd2 at its relaxed geometry from Alexandria via LeMat-Bulk. Energies are from PBE.

Unit cell a=7.175 b=7.175 c=7.175 alpha=139.69 beta=139.69 gamma=58.32
Sites, in units of the cell vectors:
Sr1 0.000 0.000 0.000
La1 0.250 0.750 0.500
La2 0.750 0.250 0.500
Pd1 0.390 0.390 0.000
Pd2 0.610 0.610 0.000

Calculated values
- Polymorph energy (0 for the lowest one): 116 meV/atom
- SG: I4/mmm
- Fermi-level density of states: 3.38 states/eV/f.u.
- Energy of formation: -0.48 eV per atom
- Volume: 153.2 Å³/cell